DFT (PBE) results for CsTiTl2F6 after structural relaxation.

Cell and atoms, written as extended XYZ:
```
20
Lattice="6.249 0.000 0.000 0.000 7.169 0.000 -6.099 0.000 9.447" Properties=species:S:1:pos:R:3 pbc="T T T"
Cs 0.000 0.000 0.000
Cs -3.049 3.584 4.724
Ti 0.075 0.000 4.724
Ti 3.124 3.584 0.000
Tl -3.024 0.263 6.871
Tl 0.025 3.322 2.147
Tl 0.125 3.847 7.300
Tl 3.174 6.906 2.576
F -1.726 0.963 4.630
F -4.776 2.622 9.353
F -3.830 5.141 8.670
F -0.780 5.612 3.946
F 0.648 0.643 2.873
F -2.401 2.942 7.597
F 2.551 4.227 1.850
F -0.498 6.526 6.574
F 0.930 1.557 5.501
F 3.980 2.028 0.777
F 4.926 4.547 0.094
F 1.876 6.206 4.817
```

Energy relative to the elements, uncorrected, eV per atom: -2.63
Space group: P2_1/c
Crystal system: monoclinic

---

DFT (PBE) results for LiGa3Sn after structural relaxation.

Cell and atoms, written as extended XYZ:
```
20
Lattice="5.452 -5.019 0.000 5.452 5.019 0.000 -4.172 0.000 8.023" Properties=species:S:1:pos:R:3 pbc="T T T"
Li 2.323 4.791 6.018
Li 2.323 1.286 6.018
Li 4.409 -1.286 2.006
Li 4.409 -4.791 2.006
Ga 3.049 2.633 1.480
Ga 1.206 3.044 7.892
Ga 3.440 3.044 4.144
Ga 0.182 0.589 7.659
Ga 5.769 2.633 2.531
Ga 2.269 -0.589 3.647
Ga 4.464 0.589 4.376
Ga 0.963 -2.633 5.492
Ga 6.550 -0.589 0.364
Ga 3.292 -3.044 3.880
Ga 5.526 -3.044 0.132
Ga 3.683 -2.633 6.543
Sn -0.162 0.045 4.892
Sn 1.924 -0.045 0.881
Sn 4.808 0.045 7.143
Sn 6.894 -0.045 3.131
```

Space group: C2/c
Crystal system: monoclinic
Energy of formation, eV/atom: -0.057

---

Number 1: VASP energy -102.0 eV/cell, N(E_F) 0.28 states/eV/atom. Number 2: VASP energy -61.1 eV/cell, N(E_F) 0.32 states/eV/atom.